Entry 1:
Ta14Co: optimized geometry, PBE.

Values from the calculation:
Space group   P4_2/mnm (136)
Volume   540.69 Å³/cell
E_form   -0.0168 eV per atom

Unit cell a=10.0773 b=10.0773 c=5.3243 alpha=90.00 beta=90.00 gamma=90.00
Closest atoms and distances in Å follow each position.
Fractional coordinates of all 30 atoms:
Ta 0.3172 0.6828 0.2476  6 Ta 2.64-2.94, 1 Co 2.93
Ta 0.7530 0.5639 0.5000  1 Co 2.63, 9 Ta 2.69-2.94
Ta 0.1828 0.1828 0.7476  6 Ta 2.64-2.94, 1 Co 2.93
Ta 0.8990 0.1010 0.5000  7 Ta 2.79-3.09, 2 Co 3.03
Ta 0.1010 0.8990 0.5000  7 Ta 2.79-3.09, 2 Co 3.03
Ta 0.6303 0.0354 0.5000  6 Ta 2.72-2.92
Ta 0.2470 0.4361 0.5000  1 Co 2.63, 9 Ta 2.69-2.94
Ta 0.4646 0.1303 0.0000  6 Ta 2.72-2.92
Ta 0.6010 0.6010 0.0000  7 Ta 2.79-3.09, 2 Co 3.03
Ta 0.4361 0.2470 0.5000  1 Co 2.63, 9 Ta 2.69-2.94
Ta 0.6828 0.3172 0.7524  6 Ta 2.64-2.94, 1 Co 2.93
Ta 0.0354 0.6303 0.5000  6 Ta 2.72-2.92
Ta 0.8172 0.8172 0.7476  6 Ta 2.64-2.94, 1 Co 2.93
Ta 0.0639 0.7470 0.0000  1 Co 2.63, 9 Ta 2.69-2.94
Ta 0.3990 0.3990 0.0000  7 Ta 2.79-3.09, 2 Co 3.03
Ta 0.1828 0.1828 0.2524  6 Ta 2.64-2.94, 1 Co 2.93
Ta 0.8172 0.8172 0.2524  6 Ta 2.64-2.94, 1 Co 2.93
Ta 0.7470 0.0639 0.0000  1 Co 2.63, 9 Ta 2.69-2.94
Ta 0.9646 0.3697 0.5000  6 Ta 2.72-2.92
Ta 0.2530 0.9361 0.0000  1 Co 2.63, 9 Ta 2.69-2.94
Ta 0.9361 0.2530 0.0000  1 Co 2.63, 9 Ta 2.69-2.94
Co 0.5000 0.5000 0.5000  8 Ta 2.63-2.93
Ta 0.6828 0.3172 0.2476  6 Ta 2.64-2.94, 1 Co 2.93
Ta 0.3697 0.9646 0.5000  6 Ta 2.72-2.92
Ta 0.5354 0.8697 0.0000  6 Ta 2.72-2.92
Co 0.0000 0.0000 0.0000  8 Ta 2.63-2.93
Ta 0.3172 0.6828 0.7524  6 Ta 2.64-2.94, 1 Co 2.93
Ta 0.5639 0.7530 0.5000  1 Co 2.63, 9 Ta 2.69-2.94
Ta 0.1303 0.4646 0.0000  6 Ta 2.72-2.92
Ta 0.8697 0.5354 0.0000  6 Ta 2.72-2.92

---

Entry 2:
DyCdNO: optimized geometry, PBE.

Values from the calculation:
Space group   P4/nmm (129)
E   -6.14 eV/atom
Volume   110.48 Å³/cell

Unit cell a=4.8775 b=4.8775 c=4.6438 alpha=90.00 beta=90.00 gamma=90.00
Closest atoms and distances in Å follow each position.
Fractional coordinates of all 8 atoms:
O 0.0000 0.0000 0.0000  2 Dy 2.32, 4 Cd 2.44
Dy 0.5000 0.5000 0.5000  2 O 2.32, 4 N 2.44
N 0.5000 0.0000 0.4980  2 Cd 2.32-2.33, 4 Dy 2.44
Cd 0.0000 0.5000 0.0013  2 N 2.32-2.33, 4 O 2.44
Cd 0.5000 0.0000 0.9987  2 N 2.32-2.33, 4 O 2.44
O 0.5000 0.5000 0.0000  2 Dy 2.32, 4 Cd 2.44
Dy 0.0000 0.0000 0.5000  2 O 2.32, 4 N 2.44
N 0.0000 0.5000 0.5020  2 Cd 2.32-2.33, 4 Dy 2.44

---

Entry 3:
YTaGaFe: optimized geometry, PBE.

Values from the calculation:
Space group   F-43m (216)
E   -7.12 eV/atom
Volume   68.76 Å³/cell

Unit cell a=4.5986 b=4.5986 c=4.5986 alpha=60.00 beta=60.00 gamma=60.00
Closest atoms and distances in Å follow each position.
Fractional coordinates of all 4 atoms:
Ga 0.0000 0.0000 0.0000  4 Y 2.82, 4 Fe 2.82
Y 0.2500 0.2500 0.2500  4 Ta 2.82, 4 Ga 2.82
Ta 0.5000 0.5000 0.5000  4 Y 2.82, 4 Fe 2.82
Fe 0.7500 0.7500 0.7500  4 Ta 2.82, 4 Ga 2.82

---

Entry 4:
RbLuTl: optimized geometry, PBE.

Values from the calculation:
Space group   F-43m (216)
E   -2.13 eV/atom
Volume   123.08 Å³/cell

Unit cell a=5.5834 b=5.5834 c=5.5834 alpha=60.00 beta=60.00 gamma=60.00
Closest atoms and distances in Å follow each position.
Fractional coordinates of all 3 atoms:
Rb 0.7500 0.7500 0.7500  4 Tl 3.42
Tl 0.0000 0.0000 0.0000  4 Rb 3.42, 4 Lu 3.42
Lu 0.2500 0.2500 0.2500  4 Tl 3.42

---

Entry 5:
Li4AsPPt2: optimized geometry, PBE.

Values from the calculation:
Space group   P-4m2 (115)
E   -4.38 eV/atom
Volume   105.48 Å³/cell

Unit cell a=4.1550 b=4.1550 c=6.1098 alpha=90.00 beta=90.00 gamma=90.00
Closest atoms and distances in Å follow each position.
Fractional coordinates of all 8 atoms:
Li 0.0000 0.5000 0.7375  4 Li 2.53-2.62, 2 P 2.53, 2 As 2.62
P 0.0000 0.0000 0.5000  4 Pt 2.50, 4 Li 2.53
As 0.5000 0.5000 0.0000  8 Li 2.62-2.94, 4 Pt 2.66
Pt 0.5000 0.0000 0.7275  4 Li 2.50-2.66, 2 P 2.50, 2 As 2.66
Li 0.5000 0.5000 0.5000  4 Pt 2.50, 4 Li 2.53
Li 0.5000 0.0000 0.2625  4 Li 2.53-2.62, 2 P 2.53, 2 As 2.62
Pt 0.0000 0.5000 0.2725  4 Li 2.50-2.66, 2 P 2.50, 2 As 2.66
Li 0.0000 0.0000 0.0000  4 Li 2.62, 4 Pt 2.66, 4 As 2.94

---

Entry 6:
NdSnSe2: optimized geometry, PBE.

Values from the calculation:
Space group   P4/mmm (123)
E   -5.03 eV/atom
Volume   109.93 Å³/cell

Unit cell a=4.2599 b=4.2599 c=6.0576 alpha=90.00 beta=90.00 gamma=90.00
Closest atoms and distances in Å follow each position.
Fractional coordinates of all 4 atoms:
Se 0.0000 0.0000 0.5000  4 Sn 3.01, 2 Nd 3.03
Nd 0.0000 0.0000 0.0000  6 Se 3.01-3.03
Se 0.5000 0.5000 0.0000  4 Nd 3.01, 2 Sn 3.03
Sn 0.5000 0.5000 0.5000  6 Se 3.01-3.03

---

Entry 7:
BeTlReTe: optimized geometry, PBE.

Values from the calculation:
Space group   F-43m (216)
E   -4.17 eV/atom
Volume   75.90 Å³/cell

Unit cell a=4.7524 b=4.7524 c=4.7524 alpha=60.00 beta=60.00 gamma=60.00
Closest atoms and distances in Å follow each position.
Fractional coordinates of all 4 atoms:
Tl 0.5000 0.5000 0.5000  4 Te 2.91, 4 Be 2.91
Re 0.0000 0.0000 0.0000  4 Be 2.91, 4 Te 2.91
Be 0.7500 0.7500 0.7500  4 Re 2.91, 4 Tl 2.91
Te 0.2500 0.2500 0.2500  4 Tl 2.91, 4 Re 2.91

---

Entry 8:
Nd2ErMg3InGa2: optimized geometry, PBE.

Values from the calculation:
Space group   Amm2 (38)
E   -3.52 eV/atom
Volume   220.81 Å³/cell

Unit cell a=4.6114 b=7.4091 c=7.4091 alpha=119.28 beta=90.00 gamma=90.00
Closest atoms and distances in Å follow each position.
Fractional coordinates of all 9 atoms:
In 0.0000 0.9936 0.9936  6 Mg 2.93-3.00, 1 Er 3.21, 2 Nd 3.26
Mg 0.5000 0.7510 0.9985  2 Ga 2.84-2.89, 2 In 2.93, 1 Mg 3.17
Ga 0.5000 0.6642 0.3381  3 Mg 2.81-2.89
Mg 0.5000 0.9985 0.7510  2 Ga 2.84-2.89, 2 In 2.93, 1 Mg 3.17
Mg 0.5000 0.2504 0.2504  2 Ga 2.81, 2 In 3.00
Er 0.0000 0.5655 0.5655  4 Ga 3.15, 1 In 3.21, 2 Mg 3.30
Nd 0.0000 0.4376 0.0012  4 Ga 3.20-3.21, 1 In 3.26, 2 Mg 3.28
Ga 0.5000 0.3381 0.6642  3 Mg 2.81-2.89
Nd 0.0000 0.0012 0.4376  4 Ga 3.20-3.21, 1 In 3.26, 2 Mg 3.28

---

Entry 9:
PrZr: optimized geometry, PBE.

Values from the calculation:
Space group   Amm2 (38)
Volume   287.79 Å³/cell
E_form   0.1675 eV per atom

Unit cell a=5.9869 b=9.2167 c=5.5146 alpha=90.00 beta=90.00 gamma=71.05
Closest atoms and distances in Å follow each position.
Fractional coordinates of all 10 atoms:
Pr 0.4741 0.3787 0.5000  7 Zr 3.21-3.57, 4 Pr 3.49-3.53
Zr 0.8615 0.6000 0.5000  10 Pr 3.37-3.57, 2 Zr 3.58
Zr 0.3877 0.1697 0.0000  4 Pr 3.17-3.50, 6 Zr 3.23-3.34
Zr 0.6809 0.0102 0.5000  5 Pr 3.21-3.54, 7 Zr 3.25-3.58
Pr 0.1851 0.6000 0.0000  8 Pr 3.31-3.68, 2 Zr 3.37
Zr 0.9574 0.0303 0.0000  4 Pr 3.17-3.50, 6 Zr 3.23-3.34
Pr 0.8250 0.3924 0.0000  6 Zr 3.17-3.42, 3 Pr 3.31-3.49
Zr 0.0912 0.1898 0.5000  5 Pr 3.21-3.54, 7 Zr 3.25-3.58
Pr 0.6174 0.8076 0.0000  6 Zr 3.17-3.42, 3 Pr 3.31-3.49
Pr 0.2528 0.8213 0.5000  7 Zr 3.21-3.57, 4 Pr 3.49-3.53

---

Entry 10:
SmB12: optimized geometry, PBE.

Values from the calculation:
Space group   Fm-3m (225)
E   -6.75 eV/atom
Volume   106.56 Å³/cell

Unit cell a=5.3215 b=5.3215 c=5.3215 alpha=60.00 beta=60.00 gamma=60.00
Closest atoms and distances in Å follow each position.
Fractional coordinates of all 13 atoms:
B 0.5000 0.8372 0.5000  5 B 1.73-1.79
B 0.1628 0.8372 0.5000  5 B 1.73-1.79
B 0.8372 0.5000 0.5000  5 B 1.73-1.79
B 0.5000 0.8372 0.1628  5 B 1.73-1.79
B 0.5000 0.1628 0.5000  5 B 1.73-1.79
B 0.1628 0.5000 0.8372  5 B 1.73-1.79
Sm 0.0000 0.0000 0.0000  24 B 2.80
B 0.8372 0.1628 0.5000  5 B 1.73-1.79
B 0.8372 0.5000 0.1628  5 B 1.73-1.79
B 0.1628 0.5000 0.5000  5 B 1.73-1.79
B 0.5000 0.5000 0.1628  5 B 1.73-1.79
B 0.5000 0.5000 0.8372  5 B 1.73-1.79
B 0.5000 0.1628 0.8372  5 B 1.73-1.79

---

Entry 11:
PrYGa2Pt4: optimized geometry, PBE.

Values from the calculation:
Space group   P-6m2 (187)
E   -6.20 eV/atom
Volume   157.63 Å³/cell

Unit cell a=4.4101 b=4.4101 c=9.3586 alpha=90.00 beta=90.00 gamma=120.00
Closest atoms and distances in Å follow each position.
Fractional coordinates of all 8 atoms:
Ga 0.6667 0.3333 0.7453  6 Pt 2.65-2.66
Pt 0.3333 0.6667 0.1777  3 Ga 2.65, 3 Pt 2.96
Ga 0.6667 0.3333 0.2547  6 Pt 2.65-2.66
Pt 0.0000 0.0000 0.3381  3 Ga 2.66, 3 Pt 2.96, 3 Y 2.96
Pt 0.3333 0.6667 0.8223  3 Ga 2.65, 3 Pt 2.96
Pt 0.0000 0.0000 0.6619  3 Ga 2.66, 3 Pt 2.96, 3 Y 2.96
Y 0.3333 0.6667 0.5000  8 Pt 2.96-3.02
Pr 0.0000 0.0000 0.0000  8 Pt 3.04-3.16

---

Entry 12:
Cu5Ag4: optimized geometry, PBE.

Values from the calculation:
Space group   Cm (8)
Volume   131.07 Å³/cell
E_form   0.0894 eV per atom

Unit cell a=7.0494 b=7.0494 c=6.7712 alpha=96.89 beta=96.89 gamma=23.11
Closest atoms and distances in Å follow each position.
Fractional coordinates of all 9 atoms:
Cu 0.7746 0.7746 0.6486  4 Cu 2.53-2.82, 5 Ag 2.69-2.76
Cu 0.0099 0.0099 0.0427  6 Cu 2.54-2.82, 3 Ag 2.72-2.78
Ag 0.8903 0.8903 0.3439  4 Cu 2.65-2.78, 8 Ag 2.82-2.87
Ag 0.4598 0.4598 0.7018  8 Cu 2.71-3.02, 5 Ag 2.80-2.87
Ag 0.2093 0.2093 0.3075  7 Cu 2.63-2.77, 5 Ag 2.82-2.89
Cu 0.6531 0.6531 0.9639  4 Cu 2.51-2.54, 4 Ag 2.75-2.77
Cu 0.1233 0.1233 0.6557  6 Cu 2.51-2.57, 3 Ag 2.71-2.77
Ag 0.3264 0.3264 0.9822  6 Cu 2.69-2.89, 6 Ag 2.80-2.89
Cu 0.5534 0.5534 0.3538  6 Cu 2.55-2.82, 5 Ag 2.63-2.82

---

- Which of these has the highest volume?
  Ta14Co